Entry 1:
# AgRh2Cl

An optimized crystal structure of AgRh2Cl (GGA-PBEsol, the Alexandria database).

Values from the calculation:
- E_form (uncorrected) (eV/atom) = 0.630
- calculated density (g/cm³) = 9.72

abc: 5.8087 7.2454 2.8331
angles: 90.00 90.00 90.00
Last column: nearest neighbours and their distance in Å.
Space group Cmmm (No. 65)
Unique sites:
Ag 0.0000 0.0000 0.0000  8 Rh 2.72, 2 Ag 2.83, 2 Cl 2.90
Rh 0.2500 0.2500 0.5000  4 Cl 2.72, 4 Ag 2.72, 4 Rh 2.83-2.90
Cl 0.0000 0.5000 0.0000  8 Rh 2.72, 2 Cl 2.83, 2 Ag 2.90

Entry 2:
# Y2ZnIrC

An optimized crystal structure of Y2ZnIrC (GGA-PBEsol, the Alexandria database).

Values from the calculation:
- formation enthalpy at 0 K (eV/atom) = 1.344
- calculated density (g/cm³) = 6.44

abc: 5.1308 5.1308 4.3793
angles: 90.00 90.00 90.00
Last column: nearest neighbours and their distance in Å.
Space group P4/mmm (No. 123)
Unique sites:
Y 0.0000 0.5000 0.0000  2 Zn 2.57
Zn 0.0000 0.0000 0.0000  2 Ir 2.19
Ir 0.0000 0.0000 0.5000  2 Zn 2.19
C 0.5000 0.5000 0.5000  8 Y 3.37, 4 Ir 3.63

Entry 3:
# Li2Ni3TeO8

An optimized crystal structure of Li2Ni3TeO8 (GGA-PBEsol, the Alexandria database).

Values from the calculation:
- E_form (uncorrected) (eV/atom) = -1.182
- calculated density (g/cm³) = 5.41

abc: 5.7741 5.7741 9.4806
angles: 90.00 90.00 120.00
Last column: nearest neighbours and their distance in Å.
Space group P6_3mc (No. 186)
Unique sites:
Li 0.0000 0.0000 0.0000  4 O 1.83-1.93
Li 0.3333 0.6667 0.0759  4 O 1.92-1.98
Ni 0.1701 0.3402 0.7734  6 O 1.86-2.04
Te 0.3333 0.6667 0.5022  6 O 1.95-2.00
O 0.0000 0.0000 0.1925  1 Li 1.83, 3 Ni 1.87
O 0.0311 0.5156 0.6396  1 Li 1.92, 1 Te 2.00, 2 Ni 2.02
O 0.1659 0.3318 0.3959  1 Li 1.93, 1 Te 1.95, 2 Ni 2.04
O 0.3333 0.6667 0.8670  3 Ni 1.86, 1 Li 1.98

Entry 4:
# KH3W

An optimized crystal structure of KH3W (GGA-PBEsol, the Alexandria database).

Values from the calculation:
- uncorrected energy (eV/cell) = -14.886
- calculated density (g/cm³) = 6.24

abc: 3.9183 3.9183 3.9183
angles: 90.00 90.00 90.00
Last column: nearest neighbours and their distance in Å.
Space group Pm-3m (No. 221)
Unique sites:
K 0.0000 0.0000 0.0000  6 H 1.96
H 0.0000 0.0000 0.5000  2 K 1.96
W 0.5000 0.5000 0.5000  12 H 2.77

Entry 5:
# ScGa3H

An optimized crystal structure of ScGa3H (GGA-PBEsol, the Alexandria database).

Values from the calculation:
- uncorrected energy (eV/cell) = -14.280
- calculated density (g/cm³) = 2.88

abc: 5.2808 5.2808 5.2808
angles: 90.00 90.00 90.00
Last column: nearest neighbours and their distance in Å.
Space group Pm-3m (No. 221)
Unique sites:
Sc 0.0000 0.0000 0.0000  6 Ga 2.64
Ga 0.0000 0.0000 0.5000  2 Sc 2.64
H 0.5000 0.5000 0.5000  12 Ga 3.73

Entry 6:
# MnCo3C

An optimized crystal structure of MnCo3C (GGA-PBEsol, the Alexandria database).

Values from the calculation:
- formation enthalpy at 0 K (eV/atom) = 0.062
- calculated density (g/cm³) = 8.02

abc: 3.6957 3.6957 3.6957
angles: 90.00 90.00 90.00
Last column: nearest neighbours and their distance in Å.
Space group Pm-3m (No. 221)
Unique sites:
Mn 0.0000 0.0000 0.0000  12 Co 2.61
Co 0.0000 0.5000 0.5000  2 C 1.85
C 0.5000 0.5000 0.5000  6 Co 1.85

Entry 7:
# SbAsBr2

An optimized crystal structure of SbAsBr2 (GGA-PBEsol, the Alexandria database).

Values from the calculation:
- E_form (uncorrected) (eV/atom) = 0.148
- calculated density (g/cm³) = 6.29

abc: 3.3854 5.8606 9.4904
angles: 90.00 90.00 90.00
Last column: nearest neighbours and their distance in Å.
Space group Immm (No. 71)
Unique sites:
Sb 0.0000 0.0000 0.0000  4 Br 3.00
As 0.0000 0.0000 0.5000  4 Br 2.83
Br 0.0000 0.5000 0.2384  2 As 2.83, 2 Sb 3.00

Entry 8:
# Zn2AgMoPt

An optimized crystal structure of Zn2AgMoPt (GGA-PBEsol, the Alexandria database).

Values from the calculation:
- formation enthalpy at 0 K (eV/atom) = 1.730
- calculated density (g/cm³) = 8.40

abc: 4.6742 4.6742 4.7955
angles: 90.00 90.00 90.00
Last column: nearest neighbours and their distance in Å.
Space group P4/mmm (No. 123)
Unique sites:
Zn 0.0000 0.5000 0.0000  2 Mo 2.34
Ag 0.0000 0.0000 0.5000  2 Mo 2.40
Mo 0.0000 0.0000 0.0000  4 Zn 2.34, 2 Ag 2.40
Pt 0.5000 0.5000 0.5000  4 Ag 3.31, 8 Zn 3.35

Entry 9:
# CoTc

An optimized crystal structure of CoTc (GGA-PBEsol, the Alexandria database).

Values from the calculation:
- formation enthalpy at 0 K (eV/atom) = 1.380
- calculated density (g/cm³) = 7.79

abc: 5.1152 5.1152 5.1152
angles: 90.00 90.00 90.00
Last column: nearest neighbours and their distance in Å.
Space group F-43m (No. 216)
Unique sites:
Co 0.0000 0.0000 0.0000  4 Tc 2.21
Tc 0.2500 0.2500 0.7500  4 Co 2.21

Entry 10:
# Cd3NiC

An optimized crystal structure of Cd3NiC (GGA-PBEsol, the Alexandria database).

Values from the calculation:
- formation enthalpy at 0 K (eV/atom) = 1.592
- calculated density (g/cm³) = 6.11

abc: 4.8043 4.8043 4.8043
angles: 90.00 90.00 90.00
Last column: nearest neighbours and their distance in Å.
Space group Pm-3m (No. 221)
Unique sites:
Cd 0.0000 0.0000 0.5000  2 Ni 2.40
Ni 0.0000 0.0000 0.0000  6 Cd 2.40
C 0.5000 0.5000 0.5000  12 Cd 3.40

Entry 11:
# La2TiPt

An optimized crystal structure of La2TiPt (GGA-PBEsol, the Alexandria database).

Values from the calculation:
- formation enthalpy at 0 K (eV/atom) = -0.147
- calculated density (g/cm³) = 8.99

abc: 7.2728 7.2728 7.2728
angles: 90.00 90.00 90.00
Last column: nearest neighbours and their distance in Å.
Space group Fm-3m (No. 225)
Unique sites:
La 0.2500 0.2500 0.2500  4 Pt 3.15, 4 Ti 3.15
Ti 0.0000 0.0000 0.0000  8 La 3.15
Pt 0.0000 0.0000 0.5000  8 La 3.15

Entry 12:
# I2Br

An optimized crystal structure of I2Br (GGA-PBEsol, the Alexandria database).

Values from the calculation:
- E_form (uncorrected) (eV/atom) = -0.025
- calculated density (g/cm³) = 4.70

abc: 7.5004 4.6661 13.5317
angles: 90.00 94.63 90.00
Last column: nearest neighbours and their distance in Å.
Space group C2 (No. 5)
Unique sites:
I 0.0000 0.0000 0.0000  2 I 2.87
I 0.0000 0.3594 0.5000  2 Br 2.70
I 0.0707 0.6415 0.1711  1 Br 2.77, 1 I 2.87
Br 0.1835 0.3228 0.3371  2 I 2.70-2.77

Entry 13:
# InRuCl2

An optimized crystal structure of InRuCl2 (GGA-PBEsol, the Alexandria database).

Values from the calculation:
- E_form (uncorrected) (eV/atom) = 0.289
- calculated density (g/cm³) = 6.69

abc: 3.0676 4.3493 5.3322
angles: 90.00 90.00 90.00
Last column: nearest neighbours and their distance in Å.
Space group Pmmm (No. 47)
Unique sites:
In 0.0000 0.0000 0.0000  4 Cl 2.66
Ru 0.5000 0.0000 0.5000  4 Cl 2.66
Cl 0.0000 0.5000 0.5000  4 Ru 2.66
Cl 0.5000 0.5000 0.0000  4 In 2.66

Entry 14:
# Zn2OsPb

An optimized crystal structure of Zn2OsPb (GGA-PBEsol, the Alexandria database).

Values from the calculation:
- formation enthalpy at 0 K (eV/atom) = 0.444
- calculated density (g/cm³) = 12.70

abc: 4.1232 3.2620 10.2713
angles: 90.00 90.00 90.00
Last column: nearest neighbours and their distance in Å.
Space group Amm2 (No. 38)
Unique sites:
Zn 0.0000 0.0000 0.0000  3 Os 2.69-2.99, 4 Zn 2.72
Zn 0.5000 0.0000 0.4318  2 Os 2.52, 1 Pb 2.66, 4 Zn 2.72
Os 0.0000 0.0000 0.2915  4 Zn 2.52-2.69
Pb 0.5000 0.0000 0.6908  3 Zn 2.66-2.96, 4 Os 2.82

Entry 15:
# CoIr2Rh

An optimized crystal structure of CoIr2Rh (GGA-PBEsol, the Alexandria database).

Values from the calculation:
- formation enthalpy at 0 K (eV/atom) = 0.044
- calculated density (g/cm³) = 17.38

abc: 5.2958 7.4232 2.6561
angles: 90.00 90.00 90.00
Last column: nearest neighbours and their distance in Å.
Space group Cmmm (No. 65)
Unique sites:
Co 0.0000 0.0000 0.0000  8 Ir 2.64, 2 Rh 2.65, 2 Co 2.66
Ir 0.2500 0.2500 0.5000  4 Co 2.64, 4 Rh 2.64, 4 Ir 2.65-2.66
Rh 0.0000 0.5000 0.0000  8 Ir 2.64, 2 Co 2.65, 2 Rh 2.66

Entry 16:
# K2ReAg

An optimized crystal structure of K2ReAg (GGA-PBEsol, the Alexandria database).

Values from the calculation:
- formation enthalpy at 0 K (eV/atom) = 1.269
- calculated density (g/cm³) = 7.39

abc: 2.7506 5.2542 11.5745
angles: 90.00 90.00 90.00
Last column: nearest neighbours and their distance in Å.
Space group Immm (No. 71)
Unique sites:
K 0.0000 0.0000 0.2363  6 K 2.75-2.98, 2 Ag 3.06
Re 0.0000 0.5000 0.0000  2 Re 2.75, 4 Ag 2.97
Ag 0.0000 0.5000 0.5000  2 Ag 2.75, 4 Re 2.97, 4 K 3.06

Entry 17:
# FeSnI3

An optimized crystal structure of FeSnI3 (GGA-PBEsol, the Alexandria database).

Values from the calculation:
- E_form (uncorrected) (eV/atom) = 0.669
- calculated density (g/cm³) = 4.38

abc: 5.9467 5.9467 5.9467
angles: 90.00 90.00 90.00
Last column: nearest neighbours and their distance in Å.
Space group Pm-3m (No. 221)
Unique sites:
Fe 0.0000 0.0000 0.0000  12 I 4.20
Sn 0.5000 0.5000 0.5000  6 I 2.97
I 0.0000 0.5000 0.5000  2 Sn 2.97

Entry 18:
# BaNiAg2

An optimized crystal structure of BaNiAg2 (GGA-PBEsol, the Alexandria database).

Values from the calculation:
- formation enthalpy at 0 K (eV/atom) = 0.166
- calculated density (g/cm³) = 7.30

abc: 4.8316 4.2820 4.8459
angles: 90.00 110.94 90.00
Last column: nearest neighbours and their distance in Å.
Space group P2/m (No. 10)
Unique sites:
Ba 0.0000 0.0000 0.0000  2 Ni 2.74
Ni 0.5000 0.0000 0.5000  4 Ag 2.54, 2 Ba 2.74
Ag 0.3275 0.5000 0.6725  2 Ni 2.54, 1 Ag 2.75

Entry 19:
# CaFeTe2

An optimized crystal structure of CaFeTe2 (GGA-PBEsol, the Alexandria database).

Values from the calculation:
- E_form (uncorrected) (eV/atom) = 0.199
- calculated density (g/cm³) = 6.05

abc: 7.2790 7.2790 7.2790
angles: 90.00 90.00 90.00
Last column: nearest neighbours and their distance in Å.
Space group F-43m (No. 216)
Unique sites:
Ca 0.0000 0.0000 0.0000  4 Te 3.15, 4 Fe 3.15
Fe 0.2500 0.2500 0.7500  4 Te 3.15, 4 Ca 3.15
Te 0.0000 0.0000 0.5000  4 Fe 3.15, 4 Te 3.15
Te 0.2500 0.2500 0.2500  4 Te 3.15, 4 Ca 3.15

Entry 20:
# Ta2AsRu

An optimized crystal structure of Ta2AsRu (GGA-PBEsol, the Alexandria database).

Values from the calculation:
- formation enthalpy at 0 K (eV/atom) = -0.174
- calculated density (g/cm³) = 14.01

abc: 2.9568 2.9568 7.2918
angles: 90.00 90.00 90.00
Last column: nearest neighbours and their distance in Å.
Space group P4/mmm (No. 123)
Unique sites:
Ta 0.0000 0.0000 0.2372  4 Ru 2.71, 4 As 2.84, 4 Ta 2.96
As 0.5000 0.5000 0.5000  8 Ta 2.84, 4 As 2.96
Ru 0.5000 0.5000 0.0000  8 Ta 2.71, 4 Ru 2.96

Entry 21:
# La2CrH

An optimized crystal structure of La2CrH (GGA-PBEsol, the Alexandria database).

Values from the calculation:
- uncorrected energy (eV/cell) = -92.373
- calculated density (g/cm³) = 6.11

abc: 7.1413 7.1413 7.0505
angles: 90.00 90.00 90.00
Last column: nearest neighbours and their distance in Å.
Space group I-42d (No. 122)
Unique sites:
La 0.1675 0.2500 0.1250  2 H 2.32
Cr 0.0000 0.0000 0.5000  8 La 3.10-3.41
H 0.0000 0.0000 0.0000  4 La 2.32

Entry 22:
# SrNiSb2

An optimized crystal structure of SrNiSb2 (GGA-PBEsol, the Alexandria database).

Values from the calculation:
- E_form (uncorrected) (eV/atom) = -0.399
- calculated density (g/cm³) = 6.08

abc: 10.9119 4.0336 5.2951
angles: 90.00 114.03 90.00
Last column: nearest neighbours and their distance in Å.
Space group Cm (No. 8)
Unique sites:
Sr 0.0000 0.0000 0.0000  1 Ni 2.98, 2 Sb 3.32
Ni 0.2313 0.0000 0.5504  4 Sb 2.50-2.55
Sb 0.1464 0.5000 0.7086  2 Ni 2.50
Sb 0.2907 0.5000 0.3286  2 Ni 2.55

Entry 23:
# SbTeI2N

An optimized crystal structure of SbTeI2N (GGA-PBEsol, the Alexandria database).

Values from the calculation:
- E_form (uncorrected) (eV/atom) = 1.187
- calculated density (g/cm³) = 4.25

abc: 5.9564 5.9564 5.6938
angles: 90.00 90.00 90.00
Last column: nearest neighbours and their distance in Å.
Space group P4/mmm (No. 123)
Unique sites:
Sb 0.0000 0.0000 0.0000  2 Te 2.85, 4 I 2.98
Te 0.0000 0.0000 0.5000  2 Sb 2.85
I 0.0000 0.5000 0.0000  2 Sb 2.98
N 0.5000 0.5000 0.5000  8 I 4.12, 4 Te 4.21

Entry 24:
# Pt2Pb

An optimized crystal structure of Pt2Pb (GGA-PBEsol, the Alexandria database).

Values from the calculation:
- formation enthalpy at 0 K (eV/atom) = -0.057
- calculated density (g/cm³) = 16.50

abc: 5.1678 5.1678 9.0031
angles: 90.00 90.00 90.00
Last column: nearest neighbours and their distance in Å.
Space group I4/mcm (No. 140)
Unique sites:
Pt 0.1827 0.3173 0.0000  5 Pt 2.67-2.68, 4 Pb 2.94
Pb 0.0000 0.0000 0.2500  8 Pt 2.94

Entry 25:
# LaMn2Cd

An optimized crystal structure of LaMn2Cd (GGA-PBEsol, the Alexandria database).

Values from the calculation:
- formation enthalpy at 0 K (eV/atom) = 0.418
- calculated density (g/cm³) = 7.90

abc: 10.6686 3.0734 4.8417
angles: 90.00 106.91 90.00
Last column: nearest neighbours and their distance in Å.
Space group Cm (No. 8)
Unique sites:
La 0.0000 0.0000 0.0000  5 Mn 2.85-2.90, 2 La 3.07
Mn 0.0167 0.5000 0.5042  2 Mn 2.65, 4 La 2.85-2.90, 2 Cd 2.88
Mn 0.2180 0.0000 0.7670  2 Mn 2.65, 2 Cd 2.82, 1 La 2.86
Cd 0.2785 0.5000 0.3340  7 Mn 2.82-3.13, 2 Cd 3.07

Entry 26:
# Be2CuRu

An optimized crystal structure of Be2CuRu (GGA-PBEsol, the Alexandria database).

Values from the calculation:
- formation enthalpy at 0 K (eV/atom) = -0.023
- calculated density (g/cm³) = 7.49

abc: 2.7289 2.7289 5.4372
angles: 90.00 90.00 90.00
Last column: nearest neighbours and their distance in Å.
Space group P4mm (No. 99)
Unique sites:
Be 0.0000 0.0000 0.0000  4 Be 2.25, 4 Ru 2.32, 1 Cu 2.40
Be 0.5000 0.5000 0.2125  4 Be 2.25, 4 Cu 2.29, 1 Ru 2.45
Cu 0.0000 0.0000 0.4407  5 Be 2.29-2.40
Ru 0.5000 0.5000 0.7621  5 Be 2.32-2.45

Entry 27:
# YTaCoCl2

An optimized crystal structure of YTaCoCl2 (GGA-PBEsol, the Alexandria database).

Values from the calculation:
- E_form (uncorrected) (eV/atom) = 0.261
- calculated density (g/cm³) = 6.85

abc: 4.5051 4.5051 4.7758
angles: 90.00 90.00 90.00
Last column: nearest neighbours and their distance in Å.
Space group P4/mmm (No. 123)
Unique sites:
Y 0.0000 0.0000 0.0000  4 Ta 3.19, 8 Cl 3.28
Ta 0.5000 0.5000 0.0000  2 Co 2.39
Co 0.5000 0.5000 0.5000  4 Cl 2.25, 2 Ta 2.39
Cl 0.0000 0.5000 0.5000  2 Co 2.25

Entry 28:
# ZrZn2Ru

An optimized crystal structure of ZrZn2Ru (GGA-PBEsol, the Alexandria database).

Values from the calculation:
- formation enthalpy at 0 K (eV/atom) = -0.242
- calculated density (g/cm³) = 8.75

abc: 3.7547 3.7547 4.3480
angles: 90.00 90.00 90.00
Last column: nearest neighbours and their distance in Å.
Space group P4/mmm (No. 123)
Unique sites:
Zr 0.0000 0.0000 0.0000  4 Ru 2.65, 8 Zn 2.87
Zn 0.0000 0.5000 0.5000  4 Zn 2.65, 4 Zr 2.87, 4 Ru 2.87
Ru 0.5000 0.5000 0.0000  4 Zr 2.65, 8 Zn 2.87